Record 1
# Nb2FeOsN PBE relaxed
# D(E_F) ... 4.3 states/eV/cell
# V ... 67.9 Å³ per cell
# Energy relative to the elements, uncorrected ... -0.353 eV per atom
# Crystal system ... tetragonal
# Mass density ... 10.9 g/cm³
data_Nb2FeOsN
_symmetry_space_group_name_H-M 'P 4/m m m'
_symmetry_Int_Tables_number 123
_symmetry_space_group_name_Hall '-P 4 2'
_cell_length_a 4.269
_cell_length_b 4.269
_cell_length_c 3.724
_cell_angle_alpha 90.00
_cell_angle_beta 90.00
_cell_angle_gamma 90.00
loop_
_atom_site_label
_atom_site_type_symbol
_atom_site_fract_x
_atom_site_fract_y
_atom_site_fract_z
Nb1 Nb 0.000 0.500 0.000
Fe1 Fe 0.000 0.000 0.500
Os1 Os 0.500 0.500 0.500
N1 N 0.000 0.000 0.000


Record 2
# PaNbFeN3 PBE relaxed
# D(E_F) ... 5.4 states/eV/cell
# V ... 148.3 Å³ per cell
# Energy relative to the elements, uncorrected ... -0.985 eV per atom
# Crystal system ... monoclinic
# Mass density ... 9.4 g/cm³
data_PaNbFeN3
_symmetry_space_group_name_H-M 'P 1 21/m 1'
_symmetry_Int_Tables_number 11
_symmetry_space_group_name_Hall '-P 2yb'
_cell_length_a 6.673
_cell_length_b 3.205
_cell_length_c 7.105
_cell_angle_alpha 90.00
_cell_angle_beta 102.57
_cell_angle_gamma 90.00
loop_
_atom_site_label
_atom_site_type_symbol
_atom_site_fract_x
_atom_site_fract_y
_atom_site_fract_z
Pa1 Pa 0.178 0.250 0.212
Nb1 Nb 0.337 0.750 0.843
Fe1 Fe 0.112 0.250 0.596
N1 N 0.115 0.250 0.872
N2 N 0.187 0.750 0.480
N3 N 0.423 0.750 0.153


Q: Look up the mass density of the first one.
A: 10.9 g/cm³